[1]
A plane-wave DFT calculation with PBEsol was carried out for a relaxed NaAlBr4 crystal.

Cell lengths 13.797, 7.407, 7.502 Å; angles 90.00, 90.00, 90.00 degrees
Fractional positions:
Na  0.152  0.250  0.051
Na  0.348  0.750  0.551
Na  0.652  0.250  0.449
Na  0.848  0.750  0.949
Al  0.101  0.750  0.798
Al  0.399  0.250  0.298
Al  0.601  0.750  0.702
Al  0.899  0.250  0.202
Br  0.036  0.250  0.377
Br  0.054  0.750  0.095
Br  0.199  0.502  0.737
Br  0.199  0.998  0.737
Br  0.301  0.002  0.237
Br  0.301  0.498  0.237
Br  0.446  0.250  0.595
Br  0.464  0.750  0.877
Br  0.536  0.250  0.123
Br  0.554  0.750  0.405
Br  0.699  0.502  0.763
Br  0.699  0.998  0.763
Br  0.801  0.002  0.263
Br  0.801  0.498  0.263
Br  0.946  0.250  0.905
Br  0.964  0.750  0.623

Computed properties:
Size of the total moment in μB/f.u.: 0.0
ρ in g cm⁻³: 3.2
Energy in eV/atom: -3.43
Density of states at the Fermi level in states/eV per cell: 0.00

***

[2]
A plane-wave DFT calculation with PBEsol was carried out for a relaxed NaAlSe2Br crystal.

Cell lengths 4.819, 4.819, 5.433 Å; angles 90.00, 90.00, 90.00 degrees
Fractional positions:
Na  0.000  0.000  0.000
Al  0.500  0.500  0.500
Se  0.000  0.500  0.500
Se  0.500  0.000  0.500
Br  0.500  0.500  0.000

Computed properties:
Size of the total moment in μB/f.u.: 0.0
ρ in g cm⁻³: 3.8
Energy in eV/atom: -3.63
Density of states at the Fermi level in states/eV per cell: 2.95

***

[3]
A plane-wave DFT calculation with PBEsol was carried out for a relaxed NbAlBr8 crystal.

Cell lengths 9.947, 9.947, 8.608 Å; angles 90.00, 90.00, 129.48 degrees
Fractional positions:
Nb  0.109  0.891  0.750
Nb  0.891  0.109  0.250
Al  0.314  0.686  0.750
Al  0.686  0.314  0.250
Br  0.017  0.559  0.750
Br  0.132  0.868  0.032
Br  0.132  0.868  0.468
Br  0.194  0.244  0.250
Br  0.244  0.194  0.750
Br  0.384  0.616  0.530
Br  0.384  0.616  0.970
Br  0.441  0.983  0.750
Br  0.559  0.017  0.250
Br  0.616  0.384  0.030
Br  0.616  0.384  0.470
Br  0.756  0.806  0.250
Br  0.806  0.756  0.750
Br  0.868  0.132  0.532
Br  0.868  0.132  0.968
Br  0.983  0.441  0.250

Computed properties:
Size of the total moment in μB/f.u.: 0.0
ρ in g cm⁻³: 3.8
Energy in eV/atom: -3.90

***

[4]
A plane-wave DFT calculation with PBEsol was carried out for a relaxed NbAlBr2 crystal.

Cell lengths 4.718, 4.718, 4.718 Å; angles 60.00, 60.00, 60.00 degrees
Fractional positions:
Nb  0.000  0.000  0.000
Al  0.500  0.500  0.500
Br  0.250  0.250  0.250
Br  0.750  0.750  0.750

Computed properties:
Size of the total moment in μB/f.u.: 0.0
ρ in g cm⁻³: 6.3
Energy in eV/atom: -4.37
Density of states at the Fermi level in states/eV per cell: 3.34

***

ρ of number 2 (NaAlSe2Br)?
3.8 g cm⁻³

***

Repeat the fourth record exactly.
A plane-wave DFT calculation with PBEsol was carried out for a relaxed NbAlBr2 crystal.

Cell lengths 4.718, 4.718, 4.718 Å; angles 60.00, 60.00, 60.00 degrees
Fractional positions:
Nb  0.000  0.000  0.000
Al  0.500  0.500  0.500
Br  0.250  0.250  0.250
Br  0.750  0.750  0.750

Computed properties:
Size of the total moment in μB/f.u.: 0.0
ρ in g cm⁻³: 6.3
Energy in eV/atom: -4.37
Density of states at the Fermi level in states/eV per cell: 3.34

***

What did the first record say?
A plane-wave DFT calculation with PBEsol was carried out for a relaxed NaAlBr4 crystal.

Cell lengths 13.797, 7.407, 7.502 Å; angles 90.00, 90.00, 90.00 degrees
Fractional positions:
Na  0.152  0.250  0.051
Na  0.348  0.750  0.551
Na  0.652  0.250  0.449
Na  0.848  0.750  0.949
Al  0.101  0.750  0.798
Al  0.399  0.250  0.298
Al  0.601  0.750  0.702
Al  0.899  0.250  0.202
Br  0.036  0.250  0.377
Br  0.054  0.750  0.095
Br  0.199  0.502  0.737
Br  0.199  0.998  0.737
Br  0.301  0.002  0.237
Br  0.301  0.498  0.237
Br  0.446  0.250  0.595
Br  0.464  0.750  0.877
Br  0.536  0.250  0.123
Br  0.554  0.750  0.405
Br  0.699  0.502  0.763
Br  0.699  0.998  0.763
Br  0.801  0.002  0.263
Br  0.801  0.498  0.263
Br  0.946  0.250  0.905
Br  0.964  0.750  0.623

Computed properties:
Size of the total moment in μB/f.u.: 0.0
ρ in g cm⁻³: 3.2
Energy in eV/atom: -3.43
Density of states at the Fermi level in states/eV per cell: 0.00

***

size of the total moment of number 4 (NbAlBr2)?
0.0 μB/f.u.